Entry 1:
Entry from the Alexandria database: a relaxed LaTb2UAs4 crystal (PBE).

```
LaTb2UAs4
1.0
5.919 -0.004 0.000
-0.010 5.919 0.000
-2.954 -2.957 5.914
Tb As U La
2 4 1 1
direct
0.250 0.750 0.500
0.000 0.000 0.000
0.245 0.245 0.490
0.505 0.005 0.011
0.995 0.495 0.989
0.755 0.755 0.510
0.750 0.250 0.500
0.500 0.500 0.000
```

Values from the calculation:
- DFT formation energy: -30.37 kcal/mol of atoms
- Magnetic moment: 2.55 μB/f.u.
- DFT total energy: -6.826 eV per atom

Entry 2:
Entry from the Alexandria database: a relaxed La2TbUAs4 crystal (PBE).

```
La2TbUAs4
1.0
-0.321 3.701 -2.005
-4.587 -3.023 -4.844
-3.883 2.717 5.637
La As Tb U
2 4 1 1
direct
0.500 0.000 0.500
0.000 0.500 0.500
0.500 0.750 0.767
0.500 0.250 0.233
0.000 0.741 0.232
0.000 0.259 0.768
0.000 0.000 0.000
0.500 0.500 0.000
```

Values from the calculation:
- DFT formation energy: -30.91 kcal/mol of atoms
- Magnetic moment: 2.29 μB/f.u.
- DFT total energy: -6.887 eV per atom